Sr2Si2Pt3: optimized geometry, GGA-PBE.

It has space group C2/m (No. 12), with a = 11.516 Å, b = 3.956 Å, c = 7.373 Å, α = 90.00°, β = 117.95° and γ = 90.00°. The inequivalent atoms are Sr at (0.126, 0.000, 0.261), Si at (0.145, 0.000, 0.728), Pt at (0.000, 0.500, 0.500) and Pt at (0.151, 0.500, 0.923).

The calculation puts the density of states at the Fermi level at 0.37 states/eV per atom. The value obtained for the uncorrected formation energy is -0.827 eV per atom.